NaLaGdSbO6 | PBE | optimized geometry

Calculated values
The calculation puts the density at 6.05 g cm⁻³. As for the total energy: -312.43 eV per cell.

Lattice parameters (Å, degrees): 8.383 8.383 8.383 90.00 90.00 90.00
Space group F-43m (No. 216)
One atom of each set of equivalent atoms:
Na 0.000 0.000 0.000 x4
La 0.000 0.000 0.500 x4
Gd 0.250 0.250 0.250 x4
Sb 0.250 0.250 0.750 x4
O 0.014 0.250 0.750 x24